Material: Ca4Ac2H
Method: DFT, PBE
State: optimized geometry

abc: 11.065 11.065 11.065
angles: 154.05 154.05 37.03
Sites, in units of the cell vectors:
Ca: 0.000 0.500 0.500
Ca: 0.126 0.126 0.000
Ca: 0.500 0.000 0.500
Ca: 0.874 0.874 0.000
Ac: 0.311 0.311 0.000
Ac: 0.689 0.689 0.000
H: 0.000 0.000 0.000

Calculated values
* space-group type: I4/mmm
* D(E_F): 1.14 states/eV per atom
* total energy: -2.715 eV per atom
* total magnetic moment: 0.0 μB/cell

---

Material: TbPPb
Method: DFT, PBE
State: optimized geometry

abc: 7.858 7.858 7.858
angles: 60.00 60.00 60.00
Sites, in units of the cell vectors:
Tb: 0.125 0.125 0.125
Tb: 0.125 0.125 0.624
Tb: 0.125 0.624 0.125
Tb: 0.624 0.125 0.125
P: 0.369 0.877 0.877
P: 0.877 0.369 0.877
P: 0.877 0.877 0.369
P: 0.877 0.877 0.877
Pb: 0.166 0.611 0.611
Pb: 0.611 0.166 0.611
Pb: 0.611 0.611 0.166
Pb: 0.611 0.611 0.611

Calculated values
* space-group type: F-43m
* energy of formation from the pure elements: -1.06 eV/f.u.
* D(E_F): 0.72 states/eV per atom
* total energy: -4.937 eV per atom
* total magnetic moment: 0.0 μB/cell

---

Material: ZrIr2Pb
Method: DFT, PBE
State: optimized geometry

abc: 9.470 9.470 9.470
angles: 18.64 18.64 18.64
Sites, in units of the cell vectors:
Zr: 0.000 0.000 0.000
Ir: 0.489 0.489 0.489
Ir: 0.745 0.745 0.745
Pb: 0.236 0.236 0.236

Calculated values
* space-group type: R3m
* energy of formation from the pure elements: 1.35 eV/f.u.
* D(E_F): 1.56 states/eV per atom
* total energy: -7.158 eV per atom
* total magnetic moment: 0.0 μB/cell

---

Material: SmMnTlSe3
Method: DFT, PBE
State: optimized geometry

abc: 9.130 4.270 9.795
angles: 90.00 105.43 90.00
Sites, in units of the cell vectors:
Sm: 0.168 0.250 0.144
Sm: 0.832 0.750 0.856
Mn: 0.417 0.750 0.391
Mn: 0.583 0.250 0.609
Tl: 0.297 0.750 0.782
Tl: 0.703 0.250 0.218
Se: 0.046 0.250 0.838
Se: 0.298 0.250 0.465
Se: 0.389 0.750 0.133
Se: 0.611 0.250 0.867
Se: 0.702 0.750 0.535
Se: 0.954 0.750 0.162

Calculated values
* space-group type: P2_1/m
* total energy: -5.481 eV per atom
* formation energy from raw total energies: -1029.7 meV/atom
* total magnetic moment: 10.0 μB/cell

---

Material: Th2TlCd5
Method: DFT, PBE
State: optimized geometry

abc: 9.146 9.146 9.939
angles: 90.00 90.00 150.13
Sites, in units of the cell vectors:
Th: 0.000 0.000 0.000
Th: 0.000 0.000 0.500
Th: 0.193 0.807 0.750
Th: 0.807 0.193 0.250
Tl: 0.455 0.545 0.250
Tl: 0.545 0.455 0.750
Cd: 0.192 0.808 0.104
Cd: 0.192 0.808 0.396
Cd: 0.353 0.647 0.029
Cd: 0.353 0.647 0.471
Cd: 0.388 0.612 0.750
Cd: 0.612 0.388 0.250
Cd: 0.647 0.353 0.529
Cd: 0.647 0.353 0.971
Cd: 0.808 0.192 0.604
Cd: 0.808 0.192 0.896

Calculated values
* space-group type: Cmcm
* energy of formation from the pure elements: -0.76 eV/f.u.
* D(E_F): 0.62 states/eV per atom
* total energy: -2.818 eV per atom
* total magnetic moment: 0.0 μB/cell

---

Material: CrCoPd
Method: DFT, PBE
State: optimized geometry

abc: 5.759 5.759 5.759
angles: 153.72 153.72 37.51
Sites, in units of the cell vectors:
Cr: 0.000 0.000 0.000
Co: 0.359 0.359 0.000
Pd: 0.678 0.678 0.000

Calculated values
* space-group type: I4mm
* energy of formation from the pure elements: 0.32 eV/f.u.
* D(E_F): 1.22 states/eV per atom
* total energy: -7.200 eV per atom
* total magnetic moment: 0.6 μB/cell

---

What did the sixth record say?
Material: CrCoPd
Method: DFT, PBE
State: optimized geometry

abc: 5.759 5.759 5.759
angles: 153.72 153.72 37.51
Sites, in units of the cell vectors:
Cr: 0.000 0.000 0.000
Co: 0.359 0.359 0.000
Pd: 0.678 0.678 0.000

Calculated values
* space-group type: I4mm
* energy of formation from the pure elements: 0.32 eV/f.u.
* D(E_F): 1.22 states/eV per atom
* total energy: -7.200 eV per atom
* total magnetic moment: 0.6 μB/cell